1.
Material: AgSb3Pt
Method: DFT, GGA-PBE
State: optimized geometry

a = 5.2924 Å, b = 5.2924 Å, c = 5.2924 Å
α = 90.00°, β = 90.00°, γ = 90.00°
Atoms (fractional coordinates):
Ag1 0.0000 0.0000 0.0000
Sb1 0.0000 0.5000 0.5000
Sb2 0.5000 0.0000 0.5000
Sb3 0.5000 0.5000 0.0000
Pt1 0.5000 0.5000 0.5000

**Formation energy without anion corrections**: 2.44 eV/f.u.
**Magnetic moment**: 0.0 μB/cell
**Crystal system**: cubic
**Raw total energy**: -3.765 eV/atom

***

2.
Material: Rb2SrTaMn
Method: DFT, GGA-PBE
State: optimized geometry

a = 7.0315 Å, b = 7.0315 Å, c = 4.3713 Å
α = 90.00°, β = 90.00°, γ = 90.00°
Atoms (fractional coordinates):
Rb1 0.0000 0.5000 0.0000
Rb2 0.5000 0.0000 0.0000
Sr1 0.0000 0.0000 0.5000
Ta1 0.5000 0.5000 0.0000
Mn1 0.5000 0.5000 0.5000

**Magnetic moment**: 0.8 μB/cell
**Crystal system**: tetragonal
**Raw total energy**: -3.504 eV/atom

***

3.
Material: Ba2SmHg
Method: DFT, GGA-PBE
State: optimized geometry

a = 12.8504 Å, b = 12.8504 Å, c = 12.8504 Å
α = 17.72°, β = 17.72°, γ = 17.72°
Atoms (fractional coordinates):
Ba1 0.0975 0.0975 0.0975
Ba2 0.9025 0.9025 0.9025
Sm1 0.0000 0.0000 0.0000
Hg1 0.5000 0.5000 0.5000

**Magnetic moment**: 0.0 μB/cell
**Crystal system**: trigonal
**Raw total energy**: -2.074 eV/atom

***

4.
Material: Li2BeIr
Method: DFT, GGA-PBE
State: optimized geometry

a = 4.8888 Å, b = 4.8888 Å, c = 4.8888 Å
α = 145.36°, β = 135.27°, γ = 57.78°
Atoms (fractional coordinates):
Li1 0.2368 0.2368 0.0000
Li2 0.7632 0.7632 0.0000
Be1 0.0000 0.5000 0.5000
Ir1 0.5000 0.0000 0.5000

**Magnetic moment**: 0.0 μB/cell
**Crystal system**: orthorhombic
**Raw total energy**: -4.346 eV/atom

***

5.
Material: Ac2Tb5Dy2
Method: DFT, GGA-PBE
State: optimized geometry

a = 11.1936 Å, b = 11.1936 Å, c = 8.2951 Å
α = 98.57°, β = 98.57°, γ = 18.58°
Atoms (fractional coordinates):
Ac1 0.1798 0.1798 0.1351
Ac2 0.8202 0.8202 0.8649
Tb1 0.0000 0.0000 0.0000
Tb2 0.0907 0.0907 0.7198
Tb3 0.3099 0.3099 0.4669
Tb4 0.6901 0.6901 0.5331
Tb5 0.9093 0.9093 0.2802
Dy1 0.4525 0.4525 0.6474
Dy2 0.5475 0.5475 0.3526

**Magnetic moment**: 0.0 μB/cell
**Crystal system**: monoclinic
**Raw total energy**: -4.301 eV/atom

***

6.
Material: CsCeSnBr6
Method: DFT, GGA-PBE
State: optimized geometry

a = 10.8047 Å, b = 10.8047 Å, c = 10.8047 Å
α = 121.61°, β = 119.24°, γ = 89.28°
Atoms (fractional coordinates):
Cs1 0.3176 0.0676 0.2500
Cs2 0.6824 0.9324 0.7500
Ce1 0.0000 0.5000 0.5000
Ce2 0.5000 0.5000 0.0000
Sn1 0.0000 0.0000 0.5000
Sn2 0.0000 0.5000 0.0000
Br1 0.0772 0.4164 0.2492
Br2 0.0772 0.8280 0.6608
Br3 0.0846 0.8346 0.2500
Br4 0.3210 0.5710 0.7500
Br5 0.3328 0.1720 0.7492
Br6 0.3328 0.5836 0.1608
Br7 0.6672 0.4164 0.8392
Br8 0.6672 0.8280 0.2508
Br9 0.6790 0.4290 0.2500
Br10 0.9154 0.1654 0.7500
Br11 0.9228 0.1720 0.3392
Br12 0.9228 0.5836 0.7508

**Formation energy without anion corrections**: -12.83 eV/f.u.
**Magnetic moment**: 2.0 μB/cell
**Crystal system**: orthorhombic
**Raw total energy**: -3.739 eV/atom